No. 1
DFT (PBE) results for an optimized crystal structure of BTe2SeI.

Summary:
As for the raw formation energy: 1.333 eV/atom.

a = 5.560 Å, b = 5.560 Å, c = 5.550 Å
α = 90.00°, β = 90.00°, γ = 90.00°
Fractional positions:
B 0.000 0.000 0.000
Te 0.000 0.500 0.500
Te 0.500 0.000 0.500
Se 0.500 0.500 0.500
I 0.500 0.500 0.000

=====

No. 2
DFT (PBE) results for an optimized crystal structure of Tl2RhBr.

Summary:
As for the raw formation energy: -0.026 eV/atom.

a = 3.386 Å, b = 3.452 Å, c = 8.355 Å
α = 90.00°, β = 90.79°, γ = 90.00°
Fractional positions:
Tl 0.009 0.000 0.201
Tl 0.991 0.000 0.799
Rh 0.500 0.500 0.000
Br 0.000 0.500 0.500

=====

No. 3
DFT (PBE) results for an optimized crystal structure of In2CoBi2.

Summary:
The formation energy is 1.442 eV per formula unit.

a = 6.873 Å, b = 6.873 Å, c = 5.738 Å
α = 90.00°, β = 90.00°, γ = 90.00°
Fractional positions:
In 0.170 0.330 0.000
In 0.330 0.830 0.000
In 0.670 0.170 0.000
In 0.830 0.670 0.000
Co 0.000 0.000 0.500
Co 0.500 0.500 0.500
Bi 0.160 0.660 0.500
Bi 0.340 0.160 0.500
Bi 0.660 0.840 0.500
Bi 0.840 0.340 0.500

=====

No. 4
DFT (PBE) results for an optimized crystal structure of Tl12Cd6Hg.

Summary:
The formation energy is 0.972 eV per formula unit.

a = 8.950 Å, b = 8.950 Å, c = 8.950 Å
α = 109.99°, β = 109.99°, γ = 109.99°
Fractional positions:
Tl 0.028 0.175 0.295
Tl 0.175 0.295 0.028
Tl 0.236 0.665 0.610
Tl 0.295 0.028 0.175
Tl 0.335 0.390 0.764
Tl 0.390 0.764 0.335
Tl 0.610 0.236 0.665
Tl 0.665 0.610 0.236
Tl 0.705 0.972 0.825
Tl 0.764 0.335 0.390
Tl 0.825 0.705 0.972
Tl 0.972 0.825 0.705
Cd 0.075 0.546 0.861
Cd 0.139 0.925 0.454
Cd 0.454 0.139 0.925
Cd 0.546 0.861 0.075
Cd 0.861 0.075 0.546
Cd 0.925 0.454 0.139
Hg 0.500 0.500 0.500

=====

No. 5
DFT (PBE) results for an optimized crystal structure of Pm3Ni2Pb4.

Summary:
The formation energy is -3.703 eV per formula unit.

a = 6.280 Å, b = 6.280 Å, c = 8.916 Å
α = 102.39°, β = 102.39°, γ = 42.44°
Fractional positions:
Pm 0.000 0.000 0.000
Pm 0.370 0.370 0.313
Pm 0.630 0.630 0.687
Ni 0.290 0.290 0.588
Ni 0.710 0.710 0.412
Pb 0.085 0.085 0.378
Pb 0.299 0.299 0.905
Pb 0.701 0.701 0.095
Pb 0.915 0.915 0.622

=====

No. 6
DFT (PBE) results for an optimized crystal structure of PmPrEr2Tm2.

Summary:
The formation energy is 1.707 eV per formula unit.

a = 6.551 Å, b = 17.758 Å, c = 3.397 Å
α = 90.00°, β = 90.00°, γ = 90.00°
Fractional positions:
Pm 0.000 0.000 0.000
Pm 0.500 0.500 0.500
Pr 0.000 0.500 0.000
Pr 0.500 0.000 0.500
Er 0.224 0.314 0.000
Er 0.276 0.814 0.500
Er 0.724 0.186 0.500
Er 0.776 0.686 0.000
Tm 0.222 0.150 0.500
Tm 0.278 0.650 0.000
Tm 0.722 0.350 0.000
Tm 0.778 0.850 0.500

=====

No. 7
DFT (PBE) results for an optimized crystal structure of Pm2Tm2Th.

Summary:
The formation energy is 0.087 eV per formula unit.

a = 12.801 Å, b = 12.801 Å, c = 12.801 Å
α = 163.89°, β = 163.89°, γ = 22.86°
Fractional positions:
Pm 0.198 0.198 0.000
Pm 0.802 0.802 0.000
Tm 0.405 0.405 0.000
Tm 0.595 0.595 0.000
Th 0.000 0.000 0.000

=====

No. 8
DFT (PBE) results for an optimized crystal structure of LaNd2CdAu4.

Summary:
The formation energy is -5.701 eV per formula unit.

a = 9.005 Å, b = 9.005 Å, c = 9.005 Å
α = 33.53°, β = 33.53°, γ = 33.53°
Fractional positions:
La 0.000 0.000 0.000
Nd 0.240 0.240 0.240
Nd 0.760 0.760 0.760
Cd 0.500 0.500 0.500
Au 0.120 0.120 0.120
Au 0.371 0.371 0.371
Au 0.629 0.629 0.629
Au 0.880 0.880 0.880

=====

No. 9
DFT (PBE) results for an optimized crystal structure of AcErCd.

Summary:
The formation energy is -0.476 eV per formula unit.

a = 5.020 Å, b = 5.020 Å, c = 8.025 Å
α = 90.00°, β = 90.00°, γ = 90.00°
Fractional positions:
Ac 0.250 0.250 0.140
Ac 0.750 0.750 0.860
Er 0.250 0.750 0.500
Er 0.750 0.250 0.500
Cd 0.250 0.250 0.732
Cd 0.750 0.750 0.268

=====

No. 10
DFT (PBE) results for an optimized crystal structure of KAcCl2.

Summary:
As for the raw formation energy: -1.630 eV/atom.

a = 8.983 Å, b = 8.983 Å, c = 8.983 Å
α = 25.68°, β = 25.68°, γ = 25.68°
Fractional positions:
K 0.000 0.000 0.000
Ac 0.500 0.500 0.500
Cl 0.255 0.255 0.255
Cl 0.745 0.745 0.745

=====

No. 11
DFT (PBE) results for an optimized crystal structure of Ba4I5O.

Summary:
As for the raw formation energy: -1.701 eV/atom.

a = 10.582 Å, b = 10.582 Å, c = 9.219 Å
α = 103.44°, β = 103.44°, γ = 25.83°
Fractional positions:
Ba 0.001 0.001 0.290
Ba 0.359 0.359 0.421
Ba 0.641 0.641 0.579
Ba 0.999 0.999 0.710
I 0.166 0.166 0.854
I 0.172 0.172 0.327
I 0.500 0.500 0.000
I 0.828 0.828 0.673
I 0.834 0.834 0.146
O 0.500 0.500 0.500

=====

No. 12
DFT (PBE) results for an optimized crystal structure of Y2Er2Ga4Pd.

Summary:
The formation energy is -4.028 eV per formula unit.

a = 6.538 Å, b = 6.538 Å, c = 6.538 Å
α = 115.16°, β = 115.16°, γ = 98.62°
Fractional positions:
Y 0.250 0.750 0.500
Y 0.750 0.250 0.500
Er 0.190 0.190 0.000
Er 0.810 0.810 0.000
Ga 0.250 0.250 0.500
Ga 0.250 0.750 0.000
Ga 0.750 0.250 0.000
Ga 0.750 0.750 0.500
Pd 0.500 0.500 0.000

=====

No. 13
DFT (PBE) results for an optimized crystal structure of MgTcSb2W.

Summary:
As for the raw formation energy: 1.264 eV/atom.

a = 5.076 Å, b = 5.076 Å, c = 4.928 Å
α = 90.00°, β = 90.00°, γ = 90.00°
Fractional positions:
Mg 0.000 0.000 0.000
Tc 0.000 0.000 0.500
Sb 0.000 0.500 0.500
Sb 0.500 0.000 0.500
W 0.500 0.500 0.000

=====

No. 14
DFT (PBE) results for an optimized crystal structure of PtO.

Summary:
As for the raw formation energy: 0.340 eV/atom.

a = 6.913 Å, b = 6.913 Å, c = 2.774 Å
α = 90.00°, β = 90.00°, γ = 90.00°
Fractional positions:
Pt 0.128 0.128 0.000
Pt 0.372 0.628 0.500
Pt 0.628 0.372 0.500
Pt 0.872 0.872 0.000
O 0.225 0.775 0.000
O 0.275 0.275 0.500
O 0.725 0.725 0.500
O 0.775 0.225 0.000

=====

No. 15
DFT (PBE) results for an optimized crystal structure of YTaBi2.

Summary:
The formation energy is 2.423 eV per formula unit.

a = 8.485 Å, b = 8.485 Å, c = 8.485 Å
α = 133.92°, β = 133.92°, γ = 67.21°
Fractional positions:
Y 0.000 0.000 0.000
Y 0.750 0.250 0.500
Ta 0.250 0.750 0.500
Ta 0.500 0.500 0.000
Bi 0.163 0.625 0.038
Bi 0.375 0.413 0.538
Bi 0.587 0.125 0.962
Bi 0.875 0.837 0.462

=====

No. 16
DFT (PBE) results for an optimized crystal structure of AlHgAs2Br.

Summary:
As for the raw formation energy: 0.790 eV/atom.

a = 5.188 Å, b = 5.188 Å, c = 6.117 Å
α = 90.00°, β = 90.00°, γ = 90.00°
Fractional positions:
Al 0.000 0.000 0.000
Hg 0.500 0.500 0.500
As 0.000 0.500 0.500
As 0.500 0.000 0.500
Br 0.500 0.500 0.000

=====

No. 17
DFT (PBE) results for an optimized crystal structure of ZrSc2B.

Summary:
The formation energy is 0.701 eV per formula unit.

a = 9.451 Å, b = 9.451 Å, c = 9.451 Å
α = 19.42°, β = 19.42°, γ = 19.42°
Fractional positions:
Zr 0.000 0.000 0.000
Sc 0.113 0.113 0.113
Sc 0.887 0.887 0.887
B 0.500 0.500 0.500

=====

No. 18
DFT (PBE) results for an optimized crystal structure of Ba2ZrSe.

Summary:
As for the raw formation energy: -0.189 eV/atom.

a = 5.893 Å, b = 5.893 Å, c = 3.823 Å
α = 90.00°, β = 90.00°, γ = 107.94°
Fractional positions:
Ba 0.000 0.500 0.000
Ba 0.500 0.000 0.000
Zr 0.000 0.000 0.500
Se 0.500 0.500 0.500

=====

No. 19
DFT (PBE) results for an optimized crystal structure of HgPbN2.

Summary:
As for the raw formation energy: 0.969 eV/atom.

a = 6.410 Å, b = 6.410 Å, c = 6.410 Å
α = 131.11°, β = 131.11°, γ = 71.64°
Fractional positions:
Hg 0.000 0.000 0.000
Hg 0.750 0.250 0.500
Pb 0.250 0.750 0.500
Pb 0.500 0.500 0.000
N 0.143 0.625 0.018
N 0.375 0.393 0.518
N 0.607 0.125 0.982
N 0.875 0.857 0.482

=====

No. 20
DFT (PBE) results for an optimized crystal structure of Rb2Cu2SnO6.

Summary:
As for the raw formation energy: -0.983 eV/atom.

a = 7.089 Å, b = 7.089 Å, c = 7.089 Å
α = 48.89°, β = 48.89°, γ = 48.89°
Fractional positions:
Rb 0.210 0.210 0.210
Rb 0.790 0.790 0.790
Cu 0.400 0.400 0.400
Cu 0.600 0.600 0.600
Sn 0.000 0.000 0.000
O 0.230 0.230 0.758
O 0.230 0.758 0.230
O 0.242 0.770 0.770
O 0.758 0.230 0.230
O 0.770 0.242 0.770
O 0.770 0.770 0.242